# 1
Compound: LaMg2Co
Source: the Alexandria database
Functional: GGA-PBE
Structure: relaxed

Calculated values
Final energy (eV/atom): -3.546
DFT formation energy (eV per formula unit): 1.0
Crystal system: cubic
Spin magnetization (μB/atom): 0.3732

a = 4.992 Å, b = 4.992 Å, c = 4.992 Å
α = 60.00°, β = 60.00°, γ = 60.00°
Site moments in Bohr magnetons follow the coordinates.
Fractional coordinates of all 4 atoms:
La  0.500  0.500  0.500  0.03
Mg  0.750  0.750  0.750  0.00
Mg  0.250  0.250  0.250  0.00
Co  0.000  0.000  0.000  -1.54

# 2
Compound: Hg2WAu
Source: the Alexandria database
Functional: GGA-PBE
Structure: relaxed

Calculated values
Final energy (eV/atom): -3.349
DFT formation energy (eV per formula unit): 3.4
Crystal system: tetragonal
Spin magnetization (μB/atom): 0.2270

a = 5.268 Å, b = 5.268 Å, c = 5.268 Å
α = 132.96°, β = 132.96°, γ = 68.71°
Site moments in Bohr magnetons follow the coordinates.
Fractional coordinates of all 4 atoms:
W  0.500  0.500  0.000  0.71
Hg  0.000  0.000  0.000  -0.01
Au  0.750  0.250  0.500  0.05
Hg  0.250  0.750  0.500  0.01

# 3
Compound: InTcSbRu2
Source: the Alexandria database
Functional: GGA-PBE
Structure: relaxed

Calculated values
Final energy (eV/atom): -5.309
Crystal system: tetragonal
Spin magnetization (μB/atom): 0.6794

a = 4.802 Å, b = 5.325 Å, c = 4.802 Å
α = 90.00°, β = 90.00°, γ = 90.00°
Site moments in Bohr magnetons follow the coordinates.
Fractional coordinates of all 5 atoms:
Ru  0.000  0.000  0.500  -0.11
Tc  0.500  0.500  0.500  3.31
Ru  0.500  0.000  0.000  -0.12
In  0.000  0.500  0.000  -0.04
Sb  0.000  0.000  0.000  0.01

# 4
Compound: KRb2GeF6
Source: the Alexandria database
Functional: GGA-PBE
Structure: relaxed

Calculated values
Final energy (eV/atom): -4.452
Crystal system: cubic
Spin magnetization (μB/atom): 0.0993

a = 6.462 Å, b = 6.462 Å, c = 6.462 Å
α = 60.00°, β = 60.00°, γ = 90.00°
Site moments in Bohr magnetons follow the coordinates.
Fractional coordinates of all 10 atoms:
F  0.221  0.221  0.000  0.08
F  0.779  0.779  0.442  0.08
Rb  0.750  0.250  0.500  0.00
F  0.221  0.221  0.558  0.08
F  0.779  0.221  0.000  0.08
Rb  0.250  0.750  0.500  0.00
F  0.779  0.779  0.000  0.08
Ge  0.000  0.000  0.000  0.37
K  0.500  0.500  0.000  0.01
F  0.221  0.779  0.000  0.08

# 5
Compound: Nd11Tl9Pd4
Source: the Alexandria database
Functional: GGA-PBE
Structure: relaxed

Calculated values
Final energy (eV/atom): -4.485
DFT formation energy (eV per formula unit): -13.1
Crystal system: orthorhombic
Spin magnetization (μB/atom): 0.0001

a = 3.840 Å, b = 13.661 Å, c = 13.661 Å
α = 112.74°, β = 90.00°, γ = 90.00°
Fractional coordinates of all 24 atoms:
Tl  0.500  0.216  0.072
Nd  0.000  0.628  0.372
Nd  0.000  0.691  0.691
Tl  0.500  0.631  0.156
Tl  0.500  0.156  0.631
Nd  0.000  0.414  0.075
Nd  0.000  0.309  0.309
Nd  0.000  0.075  0.414
Pd  0.500  0.248  0.449
Nd  0.000  0.163  0.837
Tl  0.500  0.072  0.216
Pd  0.500  0.752  0.551
Tl  0.500  0.784  0.928
Nd  0.000  0.837  0.163
Pd  0.500  0.449  0.248
Nd  0.000  0.372  0.628
Nd  0.000  0.925  0.586
Tl  0.500  0.500  0.500
Tl  0.500  0.844  0.369
Tl  0.500  0.928  0.784
Tl  0.500  0.369  0.844
Pd  0.500  0.551  0.752
Nd  0.000  0.000  0.000
Nd  0.000  0.586  0.925

# 6
Compound: Li3Tl2Pb2
Source: the Alexandria database
Functional: GGA-PBE
Structure: relaxed

Calculated values
Final energy (eV/atom): -2.700
DFT formation energy (eV per formula unit): -1.0
Crystal system: cubic
Spin magnetization (μB/atom): 0.0000

a = 7.585 Å, b = 7.585 Å, c = 7.585 Å
α = 109.47°, β = 109.47°, γ = 109.47°
Fractional coordinates of all 14 atoms:
Tl  0.500  0.357  0.500
Li  0.750  0.605  0.355
Tl  0.857  0.500  0.000
Tl  0.000  0.000  0.357
Pb  0.000  0.000  0.825
Pb  0.500  0.825  0.500
Pb  0.325  0.500  0.000
Li  0.855  0.250  0.605
Li  0.395  0.145  0.750
Pb  0.175  0.675  0.675
Li  0.250  0.895  0.145
Tl  0.643  0.143  0.143
Li  0.105  0.355  0.250
Li  0.645  0.750  0.895

# 7
Compound: Y3Ho2Er6Mg
Source: the Alexandria database
Functional: GGA-PBE
Structure: relaxed

Calculated values
Final energy (eV/atom): -4.757
DFT formation energy (eV per formula unit): 0.4
Crystal system: monoclinic
Spin magnetization (μB/atom): 0.0000

a = 6.084 Å, b = 6.084 Å, c = 11.612 Å
α = 95.05°, β = 95.05°, γ = 120.02°
Fractional coordinates of all 12 atoms:
Ho  0.334  0.666  0.000
Y  0.834  0.166  0.500
Er  0.415  0.082  0.247
Er  0.585  0.918  0.753
Er  0.748  0.748  0.248
Er  0.252  0.252  0.752
Er  0.082  0.415  0.247
Ho  0.666  0.334  0.000
Er  0.918  0.585  0.753
Y  0.500  0.500  0.500
Mg  0.000  0.000  0.000
Y  0.166  0.834  0.500

# 8
Compound: LiPbIO2
Source: the Alexandria database
Functional: GGA-PBE
Structure: relaxed

Calculated values
Final energy (eV/atom): -3.403
Crystal system: tetragonal
Spin magnetization (μB/atom): 0.4000

a = 4.338 Å, b = 5.447 Å, c = 4.338 Å
α = 90.00°, β = 90.00°, γ = 90.00°
Site moments in Bohr magnetons follow the coordinates.
Fractional coordinates of all 5 atoms:
Pb  0.000  0.500  0.000  -0.04
O  0.500  0.000  0.000  0.83
I  0.500  0.500  0.500  0.10
O  0.000  0.000  0.500  0.77
Li  0.000  0.000  0.000  -0.02

# 9
Compound: LiTaGeRuI
Source: the Alexandria database
Functional: GGA-PBE
Structure: relaxed

Calculated values
Final energy (eV/atom): -5.968
Crystal system: monoclinic
Spin magnetization (μB/atom): 0.0000

a = 3.356 Å, b = 3.485 Å, c = 9.002 Å
α = 90.00°, β = 100.18°, γ = 90.00°
Fractional coordinates of all 5 atoms:
Li  0.958  0.000  0.196
Ru  0.241  0.500  0.728
Ta  0.682  0.000  0.601
I  0.384  0.500  0.033
Ge  0.103  0.500  0.433

# 10
Compound: Hf2InSn
Source: the Alexandria database
Functional: GGA-PBE
Structure: relaxed

Calculated values
Final energy (eV/atom): -6.584
DFT formation energy (eV per formula unit): 0.3
Crystal system: tetragonal
Spin magnetization (μB/atom): 0.0000

a = 7.889 Å, b = 7.889 Å, c = 6.364 Å
α = 51.69°, β = 51.69°, γ = 90.00°
Fractional coordinates of all 8 atoms:
Hf  0.628  0.125  0.250
Sn  0.750  0.250  0.500
Hf  0.875  0.878  0.750
Hf  0.375  0.372  0.750
Hf  0.122  0.625  0.250
In  0.250  0.750  0.500
Sn  0.000  0.000  0.000
In  0.500  0.500  0.000

# 11
Compound: ZrNbBi
Source: the Alexandria database
Functional: GGA-PBE
Structure: relaxed

Calculated values
Final energy (eV/atom): -7.329
DFT formation energy (eV per formula unit): 0.5
Crystal system: hexagonal
Spin magnetization (μB/atom): 0.0000

a = 3.013 Å, b = 5.103 Å, c = 5.103 Å
α = 120.00°, β = 90.00°, γ = 90.00°
Fractional coordinates of all 3 atoms:
Bi  0.167  0.000  0.000
Zr  0.666  0.667  0.333
Nb  0.167  0.333  0.667